## TiCu2H2 (GGA-PBE)

Data for an optimized crystal structure of TiCu2H2.

Summary:
Energy relative to the lowest polymorph listed for this composition   211.9 meV per atom
DOS at the Fermi energy   0.394 states/eV per atom
Symmetry   No. 139
Calculated total energy   -4.40 eV per atom

Unit cell a=2.8380 b=2.8380 c=11.9718 alpha=90.00 beta=90.00 gamma=90.00
With the nearest neighbours (Å) after each atom.
Fractional positions:
Ti 0.0000 0.0000 0.0000  8 Cu 2.78, 4 Ti 2.84
Ti 0.5000 0.5000 0.5000  8 Cu 2.78, 4 Ti 2.84
Cu 0.0000 0.0000 0.3399  4 H 1.78
Cu 0.0000 0.0000 0.6601  4 H 1.78
Cu 0.5000 0.5000 0.1601  4 H 1.78
Cu 0.5000 0.5000 0.8399  4 H 1.78
H 0.0000 0.5000 0.2500  4 Cu 1.78
H 0.0000 0.5000 0.7500  4 Cu 1.78
H 0.5000 0.0000 0.2500  4 Cu 1.78
H 0.5000 0.0000 0.7500  4 Cu 1.78